[1]
This record from the Alexandria database describes crystalline CaGa2AgAu at its relaxed geometry. The functional is PBE.

Fermi-level density of states   0.360 states/eV/atom
Formation energy from the elements   -0.42 eV/atom
SG   Imm2, No. 44
Total energy   -3.255 eV per atom

Cell lengths 6.645, 6.645, 6.645 Å; angles 144.50, 141.63, 53.27 degrees
Fractional coordinates of all 5 atoms:
Ca: 0.000 0.000 0.000
Ga: 0.615 0.615 0.000
Ga: 0.765 0.265 0.500
Ag: 0.233 0.733 0.500
Au: 0.402 0.402 0.000

=====

[2]
This record from the Alexandria database describes crystalline LiTi2Co at its relaxed geometry. The functional is PBE.

Fermi-level density of states   0.310 states/eV/atom
Formation energy from the elements   0.25 eV/atom
SG   I-42d, No. 122
Energy above the most stable polymorph in this dataset   0.3032 eV/atom
Total energy   -5.952 eV per atom

Cell lengths 5.459, 5.459, 5.459 Å; angles 103.39, 103.39, 122.46 degrees
Fractional coordinates of all 8 atoms:
Li: 0.000 0.000 0.000
Li: 0.750 0.250 0.500
Ti: 0.160 0.625 0.035
Ti: 0.375 0.410 0.535
Ti: 0.590 0.125 0.965
Ti: 0.875 0.840 0.465
Co: 0.250 0.750 0.500
Co: 0.500 0.500 0.000

=====

[3]
This record from the Alexandria database describes crystalline LiLaNi at its relaxed geometry. The functional is PBE.

Fermi-level density of states   0.407 states/eV/atom
Formation energy from the elements   0.00 eV/atom
SG   F-43m, No. 216
Energy above the most stable polymorph in this dataset   0.1951 eV/atom
Total energy   -4.211 eV per atom

Cell lengths 4.659, 4.659, 4.659 Å; angles 60.00, 60.00, 60.00 degrees
Fractional coordinates of all 3 atoms:
Li: 0.000 0.000 0.000
La: 0.500 0.500 0.500
Ni: 0.750 0.750 0.750